Compound: InBiPb2I
Source: the Alexandria database
Functional: GGA-PBE
Structure: relaxed

Results
Size of the total moment = 0.9 μB/f.u.
E_form (uncorrected) = 2.433 eV per formula unit
Calculated volume = 45.34 Å³/atom
DFT total energy = -2.631 eV/atom

Cell: 6.1577 6.1577 5.9789 Å, 90.00 90.00 90.00°
Space group P4/mmm (No. 123)
Asymmetric unit:
In1 0.0000 0.0000 0.0000
Bi1 0.5000 0.5000 0.5000
Pb1 0.0000 0.5000 0.0000
I1 0.0000 0.0000 0.5000

---

Compound: Tl2PbAu
Source: the Alexandria database
Functional: GGA-PBE
Structure: relaxed

Results
Size of the total moment = 0.0 μB/f.u.
Calculated volume = 27.13 Å³/atom
DFT total energy = -2.870 eV/atom
E_form = 0.237 eV per formula unit

Cell: 5.0467 5.0467 8.5221 Å, 90.00 90.00 90.00°
Space group I-4m2 (No. 119)
Asymmetric unit:
Tl1 0.0000 0.0000 0.0000
Tl2 0.0000 0.5000 0.2500
Pb1 0.0000 0.0000 0.5000
Au1 0.0000 0.5000 0.7500

---

The lowest calculated volume belongs to which entry? Tl2PbAu